Entry from Alexandria: a geometry-optimized AlCuGe structure (PBE-GGA).

CIF file:
```
data_AlCuGe
_space_group_name_H-M_alt 'P -1'
_space_group_IT_number 2
_space_group_name_Hall '-P 1'
_cell_length_a 3.7087
_cell_length_b 4.8910
_cell_length_c 6.1008
_cell_angle_alpha 74.22
_cell_angle_beta 73.01
_cell_angle_gamma 67.73
loop_
_atom_site_label
_atom_site_type_symbol
_atom_site_fract_x
_atom_site_fract_y
_atom_site_fract_z
Al1 Al 0.1664 0.2318 0.4370
Cu1 Cu 0.1475 0.8783 0.8280
Ge1 Ge 0.4158 0.3057 0.8489
```

Energy of formation from the pure elements: 2.229 kcal/mol of atoms


Entry from Alexandria: a geometry-optimized SrTa2Br structure (PBE-GGA).

CIF file:
```
data_SrTa2Br
_space_group_name_H-M_alt 'F m -3 m'
_space_group_IT_number 225
_space_group_name_Hall '-F 4 2 3'
_cell_length_a 7.0788
_cell_length_b 7.0788
_cell_length_c 7.0788
_cell_angle_alpha 90.00
_cell_angle_beta 90.00
_cell_angle_gamma 90.00
loop_
_atom_site_label
_atom_site_type_symbol
_atom_site_fract_x
_atom_site_fract_y
_atom_site_fract_z
Sr1 Sr 0.0000 0.0000 0.0000
Ta1 Ta 0.2500 0.2500 0.2500
Br1 Br 0.0000 0.0000 0.5000
```

Energy above the most stable polymorph in this dataset: 1594.1 meV/atom


Entry from Alexandria: a geometry-optimized Ga3HgBi3 structure (PBE-GGA).

CIF file:
```
data_Ga3HgBi3
_space_group_name_H-M_alt 'P m -3 n'
_space_group_IT_number 223
_space_group_name_Hall '-P 4n 2 3'
_cell_length_a 7.9371
_cell_length_b 7.9371
_cell_length_c 7.9371
_cell_angle_alpha 90.00
_cell_angle_beta 90.00
_cell_angle_gamma 90.00
loop_
_atom_site_label
_atom_site_type_symbol
_atom_site_fract_x
_atom_site_fract_y
_atom_site_fract_z
Ga1 Ga 0.0000 0.2500 0.5000
Hg1 Hg 0.0000 0.0000 0.0000
Bi1 Bi 0.0000 0.5000 0.2500
```

Energy of formation from the pure elements: 2.589 kcal/mol of atoms


Entry from Alexandria: a geometry-optimized Mn4BeHg structure (PBE-GGA).

CIF file:
```
data_Mn4BeHg
_space_group_name_H-M_alt 'F -4 3 m'
_space_group_IT_number 216
_space_group_name_Hall 'F -4 2 3'
_cell_length_a 6.7503
_cell_length_b 6.7503
_cell_length_c 6.7503
_cell_angle_alpha 90.00
_cell_angle_beta 90.00
_cell_angle_gamma 90.00
loop_
_atom_site_label
_atom_site_type_symbol
_atom_site_fract_x
_atom_site_fract_y
_atom_site_fract_z
Mn1 Mn 0.1235 0.1235 0.1235
Be1 Be 0.2500 0.2500 0.7500
Hg1 Hg 0.0000 0.0000 0.5000
```

Energy of formation from the pure elements: 12.476 kcal/mol of atoms


Entry from Alexandria: a geometry-optimized NaAlS3 structure (PBE-GGA).

CIF file:
```
data_NaAlS3
_space_group_name_H-M_alt 'P m -3 m'
_space_group_IT_number 221
_space_group_name_Hall '-P 4 2 3'
_cell_length_a 4.6916
_cell_length_b 4.6916
_cell_length_c 4.6916
_cell_angle_alpha 90.00
_cell_angle_beta 90.00
_cell_angle_gamma 90.00
loop_
_atom_site_label
_atom_site_type_symbol
_atom_site_fract_x
_atom_site_fract_y
_atom_site_fract_z
Na1 Na 0.0000 0.0000 0.0000
Al1 Al 0.5000 0.5000 0.5000
S1 S 0.0000 0.5000 0.5000
```

Energy above the most stable polymorph in this dataset: 0.0 meV/atom


Entry from Alexandria: a geometry-optimized AsRu2Pb structure (PBE-GGA).

CIF file:
```
data_AsRu2Pb
_space_group_name_H-M_alt 'C 1 m 1'
_space_group_IT_number 8
_space_group_name_Hall 'C -2y'
_cell_length_a 8.6185
_cell_length_b 3.0652
_cell_length_c 5.8638
_cell_angle_alpha 90.00
_cell_angle_beta 101.29
_cell_angle_gamma 90.00
loop_
_atom_site_label
_atom_site_type_symbol
_atom_site_fract_x
_atom_site_fract_y
_atom_site_fract_z
As1 As 0.0000 0.0000 0.0000
Ru1 Ru 0.0552 0.5000 0.7009
Ru2 Ru 0.2822 0.0000 0.0111
Pb1 Pb 0.2898 0.5000 0.4465
```

Energy above the most stable polymorph in this dataset: 0.0 meV/atom
Energy of formation from the pure elements: 4.497 kcal/mol of atoms


Entry from Alexandria: a geometry-optimized Cs4RhS4 structure (PBE-GGA).

CIF file:
```
data_Cs4RhS4
_space_group_name_H-M_alt 'I -4 2 m'
_space_group_IT_number 121
_space_group_name_Hall 'I -4 2'
_cell_length_a 7.9215
_cell_length_b 7.9215
_cell_length_c 14.3559
_cell_angle_alpha 90.00
_cell_angle_beta 90.00
_cell_angle_gamma 90.00
loop_
_atom_site_label
_atom_site_type_symbol
_atom_site_fract_x
_atom_site_fract_y
_atom_site_fract_z
Cs1 Cs 0.0000 0.0000 0.2001
Cs2 Cs 0.0000 0.5000 0.0000
Rh1 Rh 0.0000 0.0000 0.5000
S1 S 0.1520 0.1520 0.6059
```


Entry from Alexandria: a geometry-optimized VGaRhN2 structure (PBE-GGA).

CIF file:
```
data_VGaRhN2
_space_group_name_H-M_alt 'P 4/m m m'
_space_group_IT_number 123
_space_group_name_Hall '-P 4 2'
_cell_length_a 3.7736
_cell_length_b 3.7736
_cell_length_c 5.4565
_cell_angle_alpha 90.00
_cell_angle_beta 90.00
_cell_angle_gamma 90.00
loop_
_atom_site_label
_atom_site_type_symbol
_atom_site_fract_x
_atom_site_fract_y
_atom_site_fract_z
V1 V 0.0000 0.0000 0.0000
Ga1 Ga 0.5000 0.5000 0.0000
Rh1 Rh 0.0000 0.0000 0.5000
N1 N 0.0000 0.5000 0.5000
```


Entry from Alexandria: a geometry-optimized LuThGaOs structure (PBE-GGA).

CIF file:
```
data_LuThGaOs
_space_group_name_H-M_alt 'F -4 3 m'
_space_group_IT_number 216
_space_group_name_Hall 'F -4 2 3'
_cell_length_a 7.0683
_cell_length_b 7.0683
_cell_length_c 7.0683
_cell_angle_alpha 90.00
_cell_angle_beta 90.00
_cell_angle_gamma 90.00
loop_
_atom_site_label
_atom_site_type_symbol
_atom_site_fract_x
_atom_site_fract_y
_atom_site_fract_z
Lu1 Lu 0.0000 0.0000 0.0000
Th1 Th 0.0000 0.0000 0.5000
Ga1 Ga 0.2500 0.2500 0.7500
Os1 Os 0.2500 0.2500 0.2500
```

Energy of formation from the pure elements: -7.516 kcal/mol of atoms


Entry from Alexandria: a geometry-optimized YTlIn2 structure (PBE-GGA).

CIF file:
```
data_YTlIn2
_space_group_name_H-M_alt 'R 3 m'
_space_group_IT_number 160
_space_group_name_Hall 'R 3 -2"'
_cell_length_a 3.5153
_cell_length_b 3.5153
_cell_length_c 31.5074
_cell_angle_alpha 90.00
_cell_angle_beta 90.00
_cell_angle_gamma 120.00
loop_
_atom_site_label
_atom_site_type_symbol
_atom_site_fract_x
_atom_site_fract_y
_atom_site_fract_z
Y1 Y 0.0000 0.0000 0.0000
Tl1 Tl 0.0000 0.0000 0.2493
In1 In 0.0000 0.0000 0.4985
In2 In 0.0000 0.0000 0.7495
```

Energy of formation from the pure elements: -2.482 kcal/mol of atoms


Entry from Alexandria: a geometry-optimized MnV structure (PBE-GGA).

CIF file:
```
data_MnV
_space_group_name_H-M_alt 'P 63/m m c'
_space_group_IT_number 194
_space_group_name_Hall '-P 6c 2c'
_cell_length_a 3.9152
_cell_length_b 3.9152
_cell_length_c 4.8458
_cell_angle_alpha 90.00
_cell_angle_beta 90.00
_cell_angle_gamma 120.00
loop_
_atom_site_label
_atom_site_type_symbol
_atom_site_fract_x
_atom_site_fract_y
_atom_site_fract_z
Mn1 Mn 0.3333 0.6667 0.2500
V1 V 0.3333 0.6667 0.7500
```

Energy of formation from the pure elements: 23.278 kcal/mol of atoms


Entry from Alexandria: a geometry-optimized ZrCr4Ni structure (PBE-GGA).

CIF file:
```
data_ZrCr4Ni
_space_group_name_H-M_alt 'F -4 3 m'
_space_group_IT_number 216
_space_group_name_Hall 'F -4 2 3'
_cell_length_a 6.8792
_cell_length_b 6.8792
_cell_length_c 6.8792
_cell_angle_alpha 90.00
_cell_angle_beta 90.00
_cell_angle_gamma 90.00
loop_
_atom_site_label
_atom_site_type_symbol
_atom_site_fract_x
_atom_site_fract_y
_atom_site_fract_z
Zr1 Zr 0.0000 0.0000 0.0000
Cr1 Cr 0.1258 0.1258 0.3742
Ni1 Ni 0.2500 0.2500 0.7500
```

Energy of formation from the pure elements: 4.333 kcal/mol of atoms


Entry from Alexandria: a geometry-optimized Tl2Cd3 structure (PBE-GGA).

CIF file:
```
data_Tl2Cd3
_space_group_name_H-M_alt 'R -3 m'
_space_group_IT_number 166
_space_group_name_Hall '-R 3 2"'
_cell_length_a 5.8823
_cell_length_b 5.8823
_cell_length_c 14.1379
_cell_angle_alpha 90.00
_cell_angle_beta 90.00
_cell_angle_gamma 120.00
loop_
_atom_site_label
_atom_site_type_symbol
_atom_site_fract_x
_atom_site_fract_y
_atom_site_fract_z
Tl1 Tl 0.0000 0.0000 0.1255
Cd1 Cd 0.0000 0.5000 0.0000
```

Energy above the most stable polymorph in this dataset: 34.7 meV/atom
Energy of formation from the pure elements: 1.608 kcal/mol of atoms


Entry from Alexandria: a geometry-optimized MnTl2As structure (PBE-GGA).

CIF file:
```
data_MnTl2As
_space_group_name_H-M_alt 'F m -3 m'
_space_group_IT_number 225
_space_group_name_Hall '-F 4 2 3'
_cell_length_a 6.9692
_cell_length_b 6.9692
_cell_length_c 6.9692
_cell_angle_alpha 90.00
_cell_angle_beta 90.00
_cell_angle_gamma 90.00
loop_
_atom_site_label
_atom_site_type_symbol
_atom_site_fract_x
_atom_site_fract_y
_atom_site_fract_z
Mn1 Mn 0.0000 0.0000 0.0000
Tl1 Tl 0.2500 0.2500 0.2500
As1 As 0.0000 0.0000 0.5000
```

Energy above the most stable polymorph in this dataset: 894.7 meV/atom
Energy of formation from the pure elements: 22.475 kcal/mol of atoms


Entry from Alexandria: a geometry-optimized Ag5Br2Cl4 structure (PBE-GGA).

CIF file:
```
data_Ag5Br2Cl4
_space_group_name_H-M_alt 'R -3 m'
_space_group_IT_number 166
_space_group_name_Hall '-R 3 2"'
_cell_length_a 4.1623
_cell_length_b 4.1623
_cell_length_c 57.5720
_cell_angle_alpha 90.00
_cell_angle_beta 90.00
_cell_angle_gamma 120.00
loop_
_atom_site_label
_atom_site_type_symbol
_atom_site_fract_x
_atom_site_fract_y
_atom_site_fract_z
Ag1 Ag 0.0000 0.0000 0.0000
Ag2 Ag 0.0000 0.0000 0.1257
Ag3 Ag 0.0000 0.0000 0.2739
Br1 Br 0.0000 0.0000 0.3609
Cl1 Cl 0.0000 0.0000 0.0792
Cl2 Cl 0.0000 0.0000 0.1949
```


Entry from Alexandria: a geometry-optimized Pm5BiTe4 structure (PBE-GGA).

CIF file:
```
data_Pm5BiTe4
_space_group_name_H-M_alt 'I 4/m'
_space_group_IT_number 87
_space_group_name_Hall '-I 4'
_cell_length_a 10.0379
_cell_length_b 10.0379
_cell_length_c 6.3494
_cell_angle_alpha 90.00
_cell_angle_beta 90.00
_cell_angle_gamma 90.00
loop_
_atom_site_label
_atom_site_type_symbol
_atom_site_fract_x
_atom_site_fract_y
_atom_site_fract_z
Pm1 Pm 0.0000 0.0000 0.0000
Pm2 Pm 0.1002 0.6992 0.5000
Bi1 Bi 0.0000 0.0000 0.5000
Te1 Te 0.1009 0.7000 0.0000
```


Entry from Alexandria: a geometry-optimized SrBeOs structure (PBE-GGA).

CIF file:
```
data_SrBeOs
_space_group_name_H-M_alt 'P 4/n m m'
_space_group_IT_number 129
_cell_length_a 4.1806
_cell_length_b 4.1806
_cell_length_c 8.6632
_cell_angle_alpha 90.00
_cell_angle_beta 90.00
_cell_angle_gamma 90.00
loop_
_space_group_symop_operation_xyz
'x,y,z'
'-x,-y,-z'
'-y+1/2,x,z'
'y+1/2,-x,-z'
'-x+1/2,-y+1/2,z'
'x+1/2,y+1/2,-z'
'y,-x+1/2,z'
'-y,x+1/2,-z'
'x+1/2,-y,-z'
'-x+1/2,y,z'
'-y,-x,-z'
'y,x,z'
'-x,y+1/2,-z'
'x,-y+1/2,z'
'y+1/2,x+1/2,-z'
'-y+1/2,-x+1/2,z'
loop_
_atom_site_label
_atom_site_type_symbol
_atom_site_fract_x
_atom_site_fract_y
_atom_site_fract_z
Sr1 Sr 0.2500 0.2500 0.2224
Be1 Be 0.2500 0.2500 0.5969
Os1 Os 0.2500 0.7500 0.5000
```

Energy above the most stable polymorph in this dataset: 0.0 meV/atom
Energy of formation from the pure elements: 2.071 kcal/mol of atoms


Entry from Alexandria: a geometry-optimized GdHRh2 structure (PBE-GGA).

CIF file:
```
data_GdHRh2
_space_group_name_H-M_alt 'R -3 m'
_space_group_IT_number 166
_space_group_name_Hall '-R 3 2"'
_cell_length_a 2.9955
_cell_length_b 2.9955
_cell_length_c 22.2559
_cell_angle_alpha 90.00
_cell_angle_beta 90.00
_cell_angle_gamma 120.00
loop_
_atom_site_label
_atom_site_type_symbol
_atom_site_fract_x
_atom_site_fract_y
_atom_site_fract_z
Gd1 Gd 0.0000 0.0000 0.0000
H1 H 0.0000 0.0000 0.5000
Rh1 Rh 0.0000 0.0000 0.1153
```


Entry from Alexandria: a geometry-optimized Ga2Ag2Pb structure (PBE-GGA).

CIF file:
```
data_Ga2Ag2Pb
_space_group_name_H-M_alt 'I 4/m m m'
_space_group_IT_number 139
_space_group_name_Hall '-I 4 2'
_cell_length_a 4.0647
_cell_length_b 4.0647
_cell_length_c 12.9490
_cell_angle_alpha 90.00
_cell_angle_beta 90.00
_cell_angle_gamma 90.00
loop_
_atom_site_label
_atom_site_type_symbol
_atom_site_fract_x
_atom_site_fract_y
_atom_site_fract_z
Ga1 Ga 0.0000 0.5000 0.2500
Ag1 Ag 0.0000 0.0000 0.1089
Pb1 Pb 0.0000 0.0000 0.5000
```

Energy above the most stable polymorph in this dataset: 0.0 meV/atom
Energy of formation from the pure elements: 1.194 kcal/mol of atoms


| no. | raw total energy (eV per atom) |
| --- | --- |
| 1 | -4.055 |
| 2 | -5.103 |
| 3 | -2.891 |
| 4 | -6.243 |
| 5 | -3.926 |
| 6 | -6.532 |
| 7 | -3.736 |
| 8 | -6.066 |
| 9 | -6.875 |
| 10 | -3.684 |
| 11 | -8.135 |
| 12 | -8.616 |
| 13 | -1.426 |
| 14 | -3.663 |
| 15 | -2.644 |
| 16 | -5.344 |
| 17 | -5.456 |
| 18 | -7.785 |
| 19 | -3.041 |